First-principles (PBE) data for an optimized crystal structure of Np2InRu, as listed in the Alexandria database.

Summary:
Energy of formation from the pure elements: 0.1806 eV per atom
Space-group type: P4/mmm, No. 123
N(E_F): 2.8047 states/eV/atom
E: -9.29 eV per atom
Magnetic moment: 7.1 μB/cell

```
4
Lattice="3.772 0.000 0.000 0.000 3.772 0.000 0.000 0.000 6.124" Properties=species:S:1:pos:R:3 pbc="T T T"
Np 0.000 0.000 1.300
Np 0.000 0.000 4.824
Ru 1.886 1.886 0.000
In 1.886 1.886 3.062
```

First-principles (PBE) data for an optimized crystal structure of NpInRu2, as listed in the Alexandria database.

Summary:
Energy of formation from the pure elements: -0.0425 eV per atom
Space-group type: P4/mmm, No. 123
N(E_F): 1.0281 states/eV/atom
E: -8.60 eV per atom
Magnetic moment: 2.4 μB/cell

```
4
Lattice="3.327 0.000 0.000 0.000 3.327 0.000 0.000 0.000 6.517" Properties=species:S:1:pos:R:3 pbc="T T T"
Ru 0.000 0.000 4.842
Ru 0.000 0.000 1.675
In 1.663 1.663 0.000
Np 1.663 1.663 3.259
```

First-principles (PBE) data for an optimized crystal structure of NpInRu2, as listed in the Alexandria database.

Summary:
Energy of formation from the pure elements: -0.0967 eV per atom
Space-group type: P4/mmm, No. 123
N(E_F): 1.6660 states/eV/atom
E: -8.65 eV per atom
Magnetic moment: 2.3 μB/cell

```
4
Lattice="3.495 0.000 0.000 0.000 4.519 0.000 0.000 0.000 4.519" Properties=species:S:1:pos:R:3 pbc="T T T"
Ru 0.000 0.000 2.260
Ru 0.000 2.260 0.000
In 1.747 0.000 0.000
Np 1.747 2.260 2.260
```

First-principles (PBE) data for an optimized crystal structure of Np2InRu3, as listed in the Alexandria database.

Summary:
Energy of formation from the pure elements: -0.0512 eV per atom
Space-group type: Cmmm, No. 65
N(E_F): 1.6549 states/eV/atom
E: -9.46 eV per atom
Magnetic moment: 11.3 μB/cell

```
12
Lattice="3.476 0.000 0.000 0.000 4.542 0.000 0.000 0.000 13.935" Properties=species:S:1:pos:R:3 pbc="T T T"
Np 0.000 0.000 4.707
Np 3.476 2.271 2.260
Np 3.476 2.271 11.675
Np 0.000 0.000 9.228
Ru 1.738 2.271 9.313
Ru 1.739 0.000 6.968
Ru 1.738 2.271 0.000
Ru 1.738 0.000 2.345
Ru 1.738 2.271 4.622
Ru 1.738 0.000 11.590
In 0.000 2.271 6.968
In 3.476 0.000 0.000
```

First-principles (PBE) data for an optimized crystal structure of NpInRu4, as listed in the Alexandria database.

Summary:
Energy of formation from the pure elements: 0.0883 eV per atom
Space-group type: F-43m, No. 216
N(E_F): 1.7114 states/eV/atom
E: -8.71 eV per atom
Magnetic moment: 2.7 μB/cell

```
6
Lattice="5.263 0.000 0.000 2.632 4.558 0.000 2.632 1.519 4.297" Properties=species:S:1:pos:R:3 pbc="T T T"
Ru 6.588 3.804 2.690
Ru 5.263 3.039 0.526
Ru 5.263 1.508 2.690
Ru 3.938 3.804 2.690
Np 2.632 1.519 1.074
In 0.000 0.000 0.000
```

First-principles (PBE) data for an optimized crystal structure of Np2InRu4, as listed in the Alexandria database.

Summary:
Energy of formation from the pure elements: 0.0183 eV per atom
Space-group type: P-1, No. 2
N(E_F): 1.7560 states/eV/atom
E: -9.37 eV per atom
Magnetic moment: 8.5 μB/cell

```
14
Lattice="-0.674 -9.214 2.441 4.059 -1.252 -3.675 1.147 1.287 5.299" Properties=species:S:1:pos:R:3 pbc="T T T"
Ru 1.534 -5.804 6.291
Ru 2.421 -7.901 -0.779
Ru 1.094 -5.822 3.416
Ru 2.112 -1.278 4.844
Ru 1.544 -1.251 2.069
Ru 3.439 -3.357 0.649
Ru 2.998 -3.375 -2.225
Ru 2.989 -7.928 1.997
Np 1.521 -8.230 4.673
Np 0.722 -3.874 2.181
Np 3.811 -5.305 1.884
Np 3.012 -0.949 -0.608
In 0.000 0.000 0.000
In 1.693 -5.233 -0.617
```

First-principles (PBE) data for an optimized crystal structure of Np2InSi2Ru5, as listed in the Alexandria database.

Summary:
Raw formation energy: -0.325 eV per atom
Space-group type: P4/mbm, No. 127
N(E_F): 2.0234 states/eV/atom
E: -8.91 eV per atom
Magnetic moment: 11.4 μB/cell

```
20
Lattice="-1.081 -0.221 -3.152 3.580 -9.327 -0.573 -8.766 -3.564 3.255" Properties=species:S:1:pos:R:3 pbc="T T T"
Ru 0.902 -9.550 -1.408
Ru 1.249 -4.774 -1.863
Ru -4.768 -7.977 0.425
Ru -4.519 -4.799 0.117
Ru -7.169 -3.562 0.938
Ru -1.498 -5.135 -0.895
Ru -0.385 -2.368 -1.471
Ru -4.923 -1.893 0.051
Ru -5.882 -10.745 1.001
Ru -1.748 -8.313 -0.586
Np -2.226 -2.789 0.959
Np -2.960 -10.102 1.724
Np 0.884 -6.916 0.182
Np -6.070 -5.975 2.500
In 0.000 0.000 0.000
In -2.593 -6.446 1.341
Si 0.264 -3.951 0.187
Si -5.450 -8.940 2.496
Si -0.162 -9.516 0.723
Si -5.024 -3.375 1.959
```

First-principles (PBE) data for an optimized crystal structure of NpZnInRu, as listed in the Alexandria database.

Summary:
Energy of formation from the pure elements: 0.1587 eV per atom
Space-group type: F-43m, No. 216
N(E_F): 2.7415 states/eV/atom
E: -6.40 eV per atom
Magnetic moment: 3.5 μB/cell

```
4
Lattice="4.774 0.000 0.000 2.387 4.134 0.000 2.387 1.378 3.898" Properties=species:S:1:pos:R:3 pbc="T T T"
Np 0.000 0.000 0.000
Ru 7.160 4.134 2.923
In 4.774 2.756 1.949
Zn 2.387 1.378 0.974
```

First-principles (PBE) data for an optimized crystal structure of Np2InS5, as listed in the Alexandria database.

Summary:
Raw formation energy: -0.996 eV per atom
Space-group type: Cmcm, No. 63
N(E_F): 2.5087 states/eV/atom
E: -7.15 eV per atom
Polymorph energy (0 for the lowest one): 86 meV/atom
Magnetic moment: 13.4 μB/cell

```
16
Lattice="-2.078 -4.757 0.791 5.613 1.111 3.993 -7.826 5.016 9.604" Properties=species:S:1:pos:R:3 pbc="T T T"
Np -3.058 2.445 6.669
Np -1.233 -1.076 7.720
Np 1.723 -2.970 4.093
Np -6.014 4.340 10.296
S -3.860 0.928 12.864
S -0.623 -1.782 5.074
S -6.714 1.870 11.032
S -3.668 3.152 9.315
S -1.720 -0.444 10.238
S -0.431 0.442 1.525
S 2.423 -0.500 3.357
S -0.546 1.403 7.001
S -2.571 1.814 4.151
S -3.744 -0.034 7.387
In -4.111 0.608 10.283
In -0.180 0.762 4.106
```

First-principles (PBE) data for an optimized crystal structure of NpInS3, as listed in the Alexandria database.

Summary:
Raw formation energy: -0.896 eV per atom
Space-group type: C2/m, No. 12
N(E_F): 1.7850 states/eV/atom
E: -6.51 eV per atom
Polymorph energy (0 for the lowest one): 27 meV/atom
Magnetic moment: 6.0 μB/cell

```
10
Lattice="4.112 0.000 0.000 0.000 7.298 -0.228 -2.056 -1.720 7.981" Properties=species:S:1:pos:R:3 pbc="T T T"
Np 2.056 4.597 4.347
Np 0.000 0.980 3.407
In 2.056 5.035 0.204
In 0.000 0.543 7.550
S 2.056 1.876 4.844
S 0.000 -0.975 5.423
S 0.000 1.289 0.741
S 0.000 3.701 2.909
S 2.056 6.552 2.330
S 2.056 4.289 7.012
```

First-principles (PBE) data for an optimized crystal structure of Np2InS6, as listed in the Alexandria database.

Summary:
Raw formation energy: -0.875 eV per atom
Space-group type: P4_2/mnm, No. 136
N(E_F): 1.9408 states/eV/atom
E: -6.81 eV per atom
Magnetic moment: 10.0 μB/cell

```
18
Lattice="6.201 0.000 0.000 0.000 6.201 0.000 0.000 0.000 12.026" Properties=species:S:1:pos:R:3 pbc="T T T"
S 1.228 4.973 10.042
S 1.228 4.973 1.984
S 1.873 1.873 4.029
S 4.328 4.328 7.997
S 1.921 1.921 0.000
S 5.021 1.180 6.013
S 4.280 4.280 0.000
S 4.973 1.228 10.042
S 1.180 5.021 6.013
S 4.328 4.328 4.029
S 4.973 1.228 1.984
S 1.873 1.873 7.997
In 0.000 0.000 0.000
In 3.100 3.100 6.013
Np 0.000 0.000 3.993
Np 3.100 3.100 10.006
Np 0.000 0.000 8.033
Np 3.100 3.100 2.020
```

First-principles (PBE) data for an optimized crystal structure of Np2InS5, as listed in the Alexandria database.

Summary:
Raw formation energy: -1.082 eV per atom
Space-group type: Pbam, No. 55
N(E_F): 1.8849 states/eV/atom
E: -7.24 eV per atom
Polymorph energy (0 for the lowest one): 0 meV/atom
Magnetic moment: 14.0 μB/cell

```
16
Lattice="-3.644 1.109 0.001 -2.173 -7.141 -1.123 -0.499 -1.653 11.481" Properties=species:S:1:pos:R:3 pbc="T T T"
Np -3.267 -4.205 8.953
Np -3.049 -3.479 1.407
Np -4.278 -7.524 6.642
Np -2.038 -0.161 3.718
S -1.087 -3.570 -0.561
S -4.077 -6.867 9.378
S -1.841 -6.057 7.267
S -1.869 -6.142 1.383
S -2.843 -2.807 6.539
S -0.250 -0.827 5.741
S -0.804 -2.652 8.975
S -2.239 -0.818 0.982
S -3.474 -4.877 3.821
S -0.832 -2.737 3.092
In 0.000 0.000 0.000
In -1.336 -4.397 5.179
```

First-principles (PBE) data for an optimized crystal structure of Np2In2S7, as listed in the Alexandria database.

Summary:
Raw formation energy: -0.729 eV per atom
Space-group type: C2/m, No. 12
N(E_F): 1.7626 states/eV/atom
E: -6.21 eV per atom
Magnetic moment: 6.0 μB/cell

```
11
Lattice="6.732 0.187 0.243 -1.056 6.907 -0.086 -1.056 -1.874 6.648" Properties=species:S:1:pos:R:3 pbc="T T T"
S 0.327 5.476 3.591
S 0.000 0.000 0.000
S 4.293 -0.256 3.215
S 0.887 2.123 2.768
S 0.327 2.048 6.220
S 3.733 3.096 4.037
S 4.293 3.171 0.586
In -0.887 3.789 4.941
In 5.507 1.430 1.865
Np 2.310 4.292 2.113
Np 2.310 0.928 4.693
```

First-principles (PBE) data for an optimized crystal structure of Np3In5S12, as listed in the Alexandria database.

Summary:
Raw formation energy: -0.809 eV per atom
Space-group type: Ia-3d, No. 230
N(E_F): 0.9899 states/eV/atom
E: -5.91 eV per atom
Magnetic moment: 47.9 μB/cell

```
80
Lattice="13.663 0.000 0.000 -4.554 12.882 0.000 -4.554 -6.441 11.156" Properties=species:S:1:pos:R:3 pbc="T T T"
S -0.484 8.119 0.970
S 7.428 -0.834 2.433
S 2.874 1.530 3.639
S -4.651 9.388 4.115
S 10.094 2.936 3.145
S 4.458 2.090 6.546
S 9.593 6.440 1.939
S 8.512 0.696 5.083
S 5.847 1.965 1.463
S 5.847 9.946 3.145
S 6.928 3.494 4.115
S 2.373 -2.090 6.546
S -5.039 0.001 9.217
S -2.373 -5.037 10.661
S 5.539 -0.971 6.548
S 0.096 4.351 4.610
S 5.039 -1.678 10.186
S 2.762 8.120 0.968
S 9.205 -2.947 7.041
S 5.039 1.679 10.188
S -1.793 -0.001 9.217
S 6.235 7.137 6.073
S 2.762 4.763 0.970
S -0.597 0.834 2.433
S -0.484 4.761 0.968
S -5.539 3.505 8.011
S 6.928 11.478 0.495
S 8.124 -4.476 9.693
S -4.458 5.037 10.661
S -3.570 10.917 1.463
S 1.793 1.678 10.186
S 1.681 4.911 7.517
S 1.793 -1.679 10.188
S -2.373 2.947 7.041
S 1.292 0.971 6.548
S 0.597 7.971 7.517
S -1.681 -0.696 5.083
S 2.181 8.531 4.610
S 9.013 1.404 0.495
S -1.292 4.476 9.693
S -3.958 5.745 6.073
S -0.985 7.412 4.608
S 3.262 5.470 4.608
S 6.347 6.442 1.939
S -2.874 7.275 8.723
S 5.151 5.607 8.723
S 3.958 -1.530 3.639
S -1.292 -3.505 8.011
In -3.416 7.246 4.184
In -4.554 3.220 5.578
In -1.139 0.805 6.973
In 1.139 4.026 9.762
In 5.693 -4.026 9.762
In 5.693 5.636 4.184
In 1.139 -3.220 8.367
In 2.277 3.220 5.578
In -2.277 -3.220 5.578
In 0.000 0.000 0.000
In 6.832 0.000 0.000
In 7.970 -0.805 6.973
In 4.554 6.441 0.000
In -1.139 3.220 2.789
In -2.277 6.441 0.000
In 3.416 2.415 1.395
In 5.693 3.220 8.367
In -1.139 10.466 1.395
In 3.416 9.661 2.789
In 4.554 -3.220 5.578
Np 7.970 8.856 1.395
Np 3.416 7.246 6.973
Np -5.693 6.441 8.367
Np 3.416 0.000 8.367
Np 7.970 4.026 1.395
Np 5.693 0.805 4.184
Np 10.247 0.000 2.789
Np 1.139 -0.805 4.184
Np 1.139 6.441 2.789
Np -1.139 5.636 6.973
Np -3.416 2.415 9.762
Np -3.416 -2.415 9.762
```

First-principles (PBE) data for an optimized crystal structure of NpInS3, as listed in the Alexandria database.

Summary:
Raw formation energy: -0.923 eV per atom
Space-group type: Pnma, No. 62
N(E_F): 1.7508 states/eV/atom
E: -6.54 eV per atom
Polymorph energy (0 for the lowest one): 0 meV/atom
Magnetic moment: 16.0 μB/cell

```
20
Lattice="-3.184 0.253 -1.963 3.417 -0.895 -5.658 -2.326 -18.039 1.447" Properties=species:S:1:pos:R:3 pbc="T T T"
S -2.292 -13.596 0.175
S -1.525 -4.763 -3.510
S -2.963 -16.657 -2.712
S 0.146 -17.448 -4.277
S -0.503 -11.278 -6.009
S -0.745 -10.657 -1.956
S -1.348 -8.023 -4.218
S -1.590 -7.403 -0.166
S 0.870 -2.023 -3.462
S -0.567 -13.918 -2.664
S -2.239 -1.232 -1.898
S 0.200 -5.085 -6.349
Np -1.507 -15.169 -4.882
Np 0.838 -6.168 -3.944
Np -2.930 -12.512 -2.230
Np -0.586 -3.512 -1.292
In -2.159 -17.878 -0.594
In 0.625 -9.983 -4.092
In 0.066 -0.803 -5.581
In -2.718 -8.697 -2.083
```

First-principles (PBE) data for an optimized crystal structure of NpInS, as listed in the Alexandria database.

Summary:
Raw formation energy: -0.302 eV per atom
Space-group type: P3m1, No. 156
N(E_F): 2.0374 states/eV/atom
E: -6.90 eV per atom
Polymorph energy (0 for the lowest one): 431 meV/atom
Magnetic moment: 5.0 μB/cell

```
3
Lattice="-0.341 -3.065 1.791 1.012 -0.036 -3.420 6.418 0.392 1.895" Properties=species:S:1:pos:R:3 pbc="T T T"
Np 2.531 -1.907 0.769
In 6.266 0.383 1.850
S 4.709 -0.792 -0.458
```

First-principles (PBE) data for an optimized crystal structure of NpIn2S4, as listed in the Alexandria database.

Summary:
Raw formation energy: -0.479 eV per atom
Space-group type: I4/m, No. 87
N(E_F): 1.5872 states/eV/atom
E: -5.47 eV per atom
Magnetic moment: 4.7 μB/cell

```
7
Lattice="-4.077 -4.882 -0.188 1.960 1.647 5.825 -3.056 5.038 -2.401" Properties=species:S:1:pos:R:3 pbc="T T T"
In -1.077 2.534 3.121
In -4.096 -0.731 0.115
Np -1.058 -1.617 2.819
S -3.159 -2.762 1.373
S -2.686 0.563 3.458
S -2.487 1.240 -0.222
S -2.014 4.565 1.863
```

First-principles (PBE) data for an optimized crystal structure of Np3In2S6, as listed in the Alexandria database.

Summary:
Raw formation energy: -1.066 eV per atom
Space-group type: C2/m, No. 12
N(E_F): 2.4943 states/eV/atom
E: -7.34 eV per atom
Magnetic moment: 11.0 μB/cell

```
11
Lattice="-2.263 -5.994 -2.675 4.306 -3.997 -3.697 1.297 -5.547 5.339" Properties=species:S:1:pos:R:3 pbc="T T T"
S -0.617 -8.867 2.336
S 0.987 -9.350 -3.932
S 3.005 -9.512 0.788
S 2.353 -6.187 2.899
S -0.349 -2.674 0.328
S 0.335 -6.025 -1.820
In 0.198 -9.101 -0.792
In 3.142 -6.437 -0.241
Np 1.371 -6.662 -4.251
Np 0.000 0.000 0.000
Np 0.672 -3.329 -2.120
```

First-principles (PBE) data for an optimized crystal structure of NpInS4, as listed in the Alexandria database.

Summary:
Raw formation energy: -0.637 eV per atom
Space-group type: Cmcm, No. 63
N(E_F): 1.1204 states/eV/atom
E: -6.00 eV per atom
Magnetic moment: 4.0 μB/cell

```
12
Lattice="-1.030 -6.555 -0.801 -0.158 -1.709 6.460 -7.918 1.228 0.132" Properties=species:S:1:pos:R:3 pbc="T T T"
Np -2.601 -4.014 2.992
Np -6.505 -3.023 2.799
S -0.539 -2.688 1.859
S -8.567 -4.348 3.932
S -6.281 -1.810 4.996
S -4.907 -4.916 3.871
S -2.825 -5.227 0.795
S -4.199 -2.121 1.920
S -2.326 -2.453 4.950
S -6.780 -4.583 0.841
In -6.939 -6.043 4.867
In -2.166 -0.994 0.924
```